No. 1
# RbAg3Sb

A relaxed RbAg3Sb crystal (PBEsol, Alexandria). Values from VASP.

```
&SYSTEM
  ibrav = 0, nat = 5, ntyp = 3
/
ATOMIC_SPECIES
Rb 85.47 Rb.upf
Ag 107.87 Ag.upf
Sb 121.76 Sb.upf
ATOMIC_POSITIONS angstrom
Rb 0.0000 0.0000 0.0000
Ag 0.0000 0.0000 2.6798
Ag 0.0000 2.6798 0.0000
Ag 2.6798 0.0000 0.0000
Sb 2.6798 2.6798 2.6798
CELL_PARAMETERS angstrom
5.3595 0.0000 0.0000
0.0000 5.3595 0.0000
0.0000 0.0000 5.3595
```

Values from the calculation:
M_tot, μB/f.u.: 0.00
Offset from the most stable computed form, meV per atom: 1205
Uncorrected formation energy, eV per atom: 1.42
Space group: No. 221

***

No. 2
# Tl3Re

A relaxed Tl3Re crystal (PBEsol, Alexandria). Values from VASP.

```
&SYSTEM
  ibrav = 0, nat = 4, ntyp = 2
/
ATOMIC_SPECIES
Tl 204.38 Tl.upf
Re 186.21 Re.upf
ATOMIC_POSITIONS angstrom
Tl 0.0000 0.0000 0.0000
Tl 1.7654 1.7654 1.7654
Tl 5.2961 5.2961 5.2961
Re 3.5308 3.5308 3.5308
CELL_PARAMETERS angstrom
0.0000 3.5308 3.5308
3.5308 0.0000 3.5308
3.5308 3.5308 0.0000
```

Values from the calculation:
M_tot, μB/f.u.: 0.01
Offset from the most stable computed form, meV per atom: 489
Formation energy, eV per atom: 1.164
Space group: No. 225